CsNbSe3: relaxed, PBE-GGA.

a = 9.1540 Å, b = 9.1540 Å, c = 9.1540 Å
α = 55.83°, β = 55.83°, γ = 55.83°
Closest atoms and distances in Å follow each position.
Sites, in units of the cell vectors:
Cs 0.0000 0.0000 0.0000  6 Se 3.68
Cs 0.5000 0.5000 0.5000  6 Se 3.68
Nb 0.2500 0.2500 0.2500  3 Se 2.36
Nb 0.7500 0.7500 0.7500  3 Se 2.36
Se 0.0253 0.7500 0.4747  1 Nb 2.36
Se 0.2500 0.5253 0.9747  1 Nb 2.36
Se 0.4747 0.0253 0.7500  1 Nb 2.36
Se 0.5253 0.9747 0.2500  1 Nb 2.36
Se 0.7500 0.4747 0.0253  1 Nb 2.36
Se 0.9747 0.2500 0.5253  1 Nb 2.36

Values from the calculation:
The formation energy without anion corrections is -42.8 kJ per mole of atoms. The calculated total energy is -4.72 eV/atom. The value obtained for the relative energy among the computed polymorphs is 543 meV per atom. The density of states at the Fermi level comes out at 0.000 states/eV/atom.